An optimized crystal structure of LaPr2Er5, computed with PBE-GGA.

The structure belongs to space group Pbam (No. 55); the cell edges are 7.164, 14.355 and 5.092 Å and the angles 90.00°, 90.00° and 90.00°. The asymmetric unit holds La at (0.000, 0.000, 0.000), Pr at (0.244, 0.373, 0.500), Er at (0.000, 0.500, 0.000), Er at (0.006, 0.748, 0.000) and Er at (0.246, 0.126, 0.500).

The calculation puts the relative energy among the computed polymorphs at 0.0 meV/atom. The spin magnetization is 0.00 μB per formula unit. The calculation puts the raw total energy at -4.64 eV per atom.

---

An optimized crystal structure of Tb2NdTl, computed with PBE-GGA.

The structure belongs to space group Fm-3m (No. 225); the cell edges are 7.810, 7.810 and 7.810 Å and the angles 90.00°, 90.00° and 90.00°. The asymmetric unit holds Tb at (0.250, 0.250, 0.250), Nd at (0.000, 0.000, 0.000) and Tl at (0.000, 0.000, 0.500).

The calculation puts the relative energy among the computed polymorphs at 173.2 meV/atom. The spin magnetization is 1.54 μB per formula unit. The calculation puts the raw total energy at -4.11 eV per atom.

---

An optimized crystal structure of NpCu2O4, computed with PBE-GGA.

The structure belongs to space group C2/m (No. 12); the cell edges are 11.746, 3.516 and 4.778 Å and the angles 90.00°, 107.73° and 90.00°. The asymmetric unit holds Np at (0.000, 0.000, 0.000), Cu at (0.209, 0.500, 0.741), O at (0.066, 0.500, 0.826) and O at (0.146, 0.000, 0.345).

The spin magnetization is 0.98 μB per formula unit. The calculation puts the raw total energy at -7.56 eV per atom.

---

An optimized crystal structure of Cs2PuPdS4, computed with PBE-GGA.

The structure belongs to space group Fddd (No. 70, origin choice 2); the cell edges are 6.448, 15.316 and 24.906 Å and the angles 90.00°, 90.00° and 90.00°. The asymmetric unit holds Cs at (0.125, 0.125, 0.303), Pu at (0.125, 0.125, 0.125), Pd at (0.125, 0.125, 0.625) and S at (0.107, 0.270, 0.837).

The spin magnetization is 3.99 μB per formula unit. The calculation puts the raw total energy at -5.60 eV per atom.

---

An optimized crystal structure of TlCrP2, computed with PBE-GGA.

The structure belongs to space group P4/mmm (No. 123); the cell edges are 3.024, 3.024 and 7.513 Å and the angles 90.00°, 90.00° and 90.00°. The asymmetric unit holds Tl at (0.000, 0.000, 0.000), Cr at (0.000, 0.000, 0.500) and P at (0.500, 0.500, 0.337).

The calculation puts the relative energy among the computed polymorphs at 9.9 meV/atom. The spin magnetization is 0.00 μB per formula unit. The calculation puts the raw total energy at -5.67 eV per atom.

---

An optimized crystal structure of MnAlV2, computed with PBE-GGA.

The structure belongs to space group P-3m1 (No. 164); the cell edges are 4.2400, 4.2400 and 7.0555 Å and the angles 90.00°, 90.00° and 120.00°. The asymmetric unit holds Mn at (0.3333, 0.6667, 0.2173), Al at (0.0000, 0.0000, 0.2890), V at (0.3333, 0.6667, 0.5482) and V at (0.3333, 0.6667, 0.9021).

The spin magnetization is 0.00 μB per formula unit. The calculation puts the raw total energy at -7.84 eV per atom.

---

An optimized crystal structure of Cs2K5Rb2Na, computed with PBE-GGA.

The structure belongs to space group P4/mbm (No. 127); the cell edges are 17.884, 17.884 and 5.118 Å and the angles 90.00°, 90.00° and 90.00°. The asymmetric unit holds Cs at (0.169, 0.331, 0.000), K at (0.000, 0.500, 0.500), K at (0.028, 0.822, 0.500), Rb at (0.146, 0.646, 0.000) and Na at (0.000, 0.000, 0.000).

The spin magnetization is 0.00 μB per formula unit. The calculation puts the raw total energy at -1.01 eV per atom.

---

An optimized crystal structure of ZrNb3Ga, computed with PBE-GGA.

The structure belongs to space group Pm-3m (No. 221); the cell edges are 4.913, 4.913 and 4.913 Å and the angles 90.00°, 90.00° and 90.00°. The asymmetric unit holds Zr at (0.000, 0.000, 0.000), Nb at (0.000, 0.000, 0.500) and Ga at (0.500, 0.500, 0.500).

The calculation puts the relative energy among the computed polymorphs at 751.7 meV/atom. The spin magnetization is 0.00 μB per formula unit. The calculation puts the raw total energy at -6.76 eV per atom.

---

An optimized crystal structure of WAu3, computed with PBE-GGA.

The structure belongs to space group I4/mmm (No. 139); the cell edges are 4.253, 4.253 and 7.673 Å and the angles 90.00°, 90.00° and 90.00°. The asymmetric unit holds W at (0.000, 0.000, 0.000), Au at (0.000, 0.000, 0.500) and Au at (0.000, 0.500, 0.250).

The spin magnetization is 0.66 μB per formula unit. The calculation puts the raw total energy at -5.18 eV per atom.

---

An optimized crystal structure of Ba5Tc3, computed with PBE-GGA.

The structure belongs to space group Cmmm (No. 65); the cell edges are 11.609, 13.339 and 3.971 Å and the angles 90.00°, 90.00° and 90.00°. The asymmetric unit holds Ba at (0.000, 0.000, 0.000), Ba at (0.225, 0.500, 0.500), Ba at (0.250, 0.250, 0.000), Tc at (0.000, 0.385, 0.500) and Tc at (0.000, 0.500, 0.000).

The calculation puts the relative energy among the computed polymorphs at 0.0 meV/atom. The spin magnetization is 0.00 μB per formula unit. The calculation puts the raw total energy at -4.35 eV per atom.

---

An optimized crystal structure of Tb4Y3Rh4, computed with PBE-GGA.

The structure belongs to space group Immm (No. 71); the cell edges are 3.760, 8.899 and 15.897 Å and the angles 90.00°, 90.00° and 90.00°. The asymmetric unit holds Tb at (0.000, 0.188, 0.165), Y at (0.000, 0.000, 0.397), Y at (0.000, 0.500, 0.500), Rh at (0.000, 0.290, 0.000) and Rh at (0.000, 0.500, 0.251).

The spin magnetization is 0.00 μB per formula unit. The calculation puts the raw total energy at -6.74 eV per atom.

---

An optimized crystal structure of Ho4Mg5Tl2, computed with PBE-GGA.

The structure belongs to space group P2/m (No. 10); the cell edges are 8.045, 3.509 and 10.499 Å and the angles 90.00°, 94.12° and 90.00°. The asymmetric unit holds Ho at (0.159, 0.000, 0.389), Ho at (0.278, 0.000, 0.945), Mg at (0.198, 0.500, 0.663), Mg at (0.437, 0.500, 0.207), Mg at (0.500, 0.500, 0.500) and Tl at (0.062, 0.500, 0.142).

The spin magnetization is 0.00 μB per formula unit. The calculation puts the raw total energy at -2.91 eV per atom.